Record 1
# Mn3GeH

A relaxed structure of Mn3GeH (PBE, Alexandria).

Results
Calculated density = 6.25 g/cm³
Total magnetic moment = 0.6349 μB/atom
Energy relative to the lowest polymorph listed for this composition = 688 meV per atom

a = 6.7004 Å, b = 6.7004 Å, c = 4.3721 Å
α = 90.00°, β = 90.00°, γ = 139.76°
With the nearest neighbours (Å) after each atom.
Fractional coordinates of all 10 atoms:
1 Ge 0.1712 0.8288 0.2500  8 Mn 2.42-2.51
2 Ge 0.8288 0.1712 0.7500  8 Mn 2.42-2.51
3 Mn 0.4219 0.1074 0.7500  1 H 1.72
4 Mn 0.8926 0.5781 0.7500  1 H 1.72
5 Mn 0.5781 0.8926 0.2500  1 H 1.72
6 Mn 0.1074 0.4219 0.2500  1 H 1.72
7 Mn 0.0000 0.0000 0.0000  2 Mn 2.19, 2 Ge 2.42
8 Mn 0.0000 0.0000 0.5000  2 Mn 2.19, 2 Ge 2.42
9 H 0.5509 0.4491 0.7500  2 Mn 1.72
10 H 0.4491 0.5509 0.2500  2 Mn 1.72

---

Record 2
# Mn2GeH2

A relaxed structure of Mn2GeH2 (PBE, Alexandria).

Results
Calculated density = 6.55 g/cm³
Total magnetic moment = 0.9840 μB/atom
Energy relative to the lowest polymorph listed for this composition = 0 meV per atom

a = 5.1521 Å, b = 5.1521 Å, c = 4.7269 Å
α = 102.87°, β = 102.87°, γ = 122.62°
With the nearest neighbours (Å) after each atom.
Fractional coordinates of all 10 atoms:
1 H 0.7892 0.5887 0.5214  3 Mn 1.75-1.95
2 H 0.4113 0.2108 0.9786  3 Mn 1.75-1.95
3 H 0.5887 0.7892 0.0214  3 Mn 1.75-1.95
4 H 0.2108 0.4113 0.4786  3 Mn 1.75-1.95
5 Ge 0.8572 0.1428 0.7500  4 H 2.45-2.61, 7 Mn 2.57-2.64
6 Ge 0.1428 0.8572 0.2500  4 H 2.45-2.61, 7 Mn 2.57-2.64
7 Mn 0.7451 0.2549 0.2500  2 H 1.77
8 Mn 0.5704 0.4296 0.7500  4 H 1.75-1.95
9 Mn 0.4296 0.5704 0.2500  4 H 1.75-1.95
10 Mn 0.2549 0.7451 0.7500  2 H 1.77

---

Record 3
# MnGe2MoH

A relaxed structure of MnGe2MoH (PBE, Alexandria).

Results
Calculated density = 7.88 g/cm³
Total magnetic moment = 0.5625 μB/atom
VASP energy = -6.2166 eV/atom

a = 4.2780 Å, b = 4.2780 Å, c = 3.4231 Å
α = 90.00°, β = 90.00°, γ = 90.00°
With the nearest neighbours (Å) after each atom.
Fractional coordinates of all 5 atoms:
1 Mn 0.5000 0.5000 0.5000  8 Ge 2.74, 4 Mo 3.03
2 H 0.0000 0.0000 0.0000  2 Mo 1.71
3 Ge 0.0000 0.5000 0.0000  2 H 2.14
4 Ge 0.5000 0.0000 0.0000  2 H 2.14
5 Mo 0.0000 0.0000 0.5000  2 H 1.71

---

Record 4
# MnGeMo2H

A relaxed structure of MnGeMo2H (PBE, Alexandria).

Results
Calculated density = 8.65 g/cm³
Total magnetic moment = 0.4116 μB/atom
VASP energy = -7.7009 eV/atom

a = 4.0230 Å, b = 4.0230 Å, c = 3.7995 Å
α = 90.00°, β = 90.00°, γ = 90.00°
With the nearest neighbours (Å) after each atom.
Fractional coordinates of all 5 atoms:
1 H 0.0000 0.0000 0.0000  2 Mn 1.90, 4 Mo 2.01
2 Mn 0.0000 0.0000 0.5000  2 H 1.90
3 Mo 0.0000 0.5000 0.0000  2 H 2.01
4 Mo 0.5000 0.0000 0.0000  2 H 2.01
5 Ge 0.5000 0.5000 0.5000  8 Mo 2.77, 4 Mn 2.84

---

Record 5
# MnGeH2N

A relaxed structure of MnGeH2N (PBE, Alexandria).

Results
Calculated density = 5.12 g/cm³
Total magnetic moment = 0.4176 μB/atom
VASP energy = -4.9919 eV/atom

a = 3.2798 Å, b = 4.3300 Å, c = 3.2798 Å
α = 90.00°, β = 90.00°, γ = 90.00°
With the nearest neighbours (Å) after each atom.
Fractional coordinates of all 5 atoms:
1 Ge 0.5000 0.5000 0.5000  4 Mn 2.32
2 Mn 0.0000 0.5000 0.0000  2 N 2.17, 4 Ge 2.32
3 H 0.0000 0.0000 0.5000  2 N 1.64
4 H 0.5000 0.0000 0.0000  2 N 1.64
5 N 0.0000 0.0000 0.0000  4 H 1.64

---

Record 6
# Mn5Nb2Ge3H2

A relaxed structure of Mn5Nb2Ge3H2 (PBE, Alexandria).

Results
Calculated density = 7.93 g/cm³
Total magnetic moment = 0.8220 μB/atom
VASP energy = -7.4679 eV/atom

a = 3.7013 Å, b = 3.7013 Å, c = 10.7226 Å
α = 99.94°, β = 99.94°, γ = 90.00°
With the nearest neighbours (Å) after each atom.
Fractional coordinates of all 12 atoms:
1 Mn 0.9118 0.4118 0.8236  2 H 1.85
2 Mn 0.5000 0.5000 0.0000  2 H 1.87
3 Mn 0.0882 0.5882 0.1764  2 H 1.85
4 Mn 0.5882 0.0882 0.1764  2 H 1.85
5 Mn 0.4118 0.9118 0.8236  2 H 1.85
6 Nb 0.3009 0.3009 0.6019  1 H 2.27
7 Nb 0.6991 0.6991 0.3981  1 H 2.27
8 H 0.4102 0.4102 0.8204  5 Mn 1.85-1.87
9 H 0.5898 0.5898 0.1796  5 Mn 1.85-1.87
10 Ge 0.1713 0.1713 0.3426  4 Mn 2.53, 5 Nb 2.68-2.70
11 Ge 0.0000 0.0000 0.0000  12 Mn 2.61-2.62
12 Ge 0.8287 0.8287 0.6574  4 Mn 2.53, 5 Nb 2.68-2.70